A plane-wave DFT calculation with PBE-GGA was carried out for a geometry-optimized Ho10Sb3Pb3 structure.

formation energy (no corrections)	-0.717	eV/atom
total energy	-5.046	eV/atom

a = 8.9832 Å, b = 8.9832 Å, c = 6.4274 Å
α = 90.00°, β = 90.00°, γ = 120.00°
Space group P-62m (No. 189)
Unique sites:
Ho 0.0000 0.2414 0.0000
Ho 0.0000 0.7601 0.5000
Ho 0.3333 0.6667 0.2468
Sb 0.0000 0.6097 0.0000
Pb 0.0000 0.3930 0.5000

A plane-wave DFT calculation with PBE-GGA was carried out for a geometry-optimized Ho5Sb2Pb2 structure.

formation energy (no corrections)	-0.767	eV/atom
total energy	-5.051	eV/atom

a = 15.399 Å, b = 8.170 Å, c = 8.206 Å
α = 90.00°, β = 90.00°, γ = 90.00°
Space group Cmce (No. 64)
Unique sites:
Ho 0.000 0.000 0.000
Ho 0.137 0.164 0.339
Sb 0.201 0.000 0.000
Pb 0.000 0.141 0.641